1.
# Sr3BN, optimized geometry, DFT PBE
# **ΔE_f (raw)**: 1.1 eV/f.u.
# **Spin magnetization**: 1.884 μB per cell
# **Energy above the most stable polymorph in this dataset**: 0.0 meV/atom
data_Sr3BN
_space_group_name_H-M_alt 'P m -3 m'
_space_group_IT_number 221
_space_group_name_Hall '-P 4 2 3'
_cell_length_a 5.111
_cell_length_b 5.111
_cell_length_c 5.111
_cell_angle_alpha 90.00
_cell_angle_beta 90.00
_cell_angle_gamma 90.00
loop_
_atom_site_label
_atom_site_type_symbol
_atom_site_fract_x
_atom_site_fract_y
_atom_site_fract_z
_atom_site_occupancy
Sr1 Sr 0.000 0.000 0.500 1
B1 B 0.500 0.500 0.500 1
N1 N 0.000 0.000 0.000 1

=====

2.
# Ho3TmTl4Se8, optimized geometry, DFT PBE
# **ΔE_f (raw)**: -22.1 eV/f.u.
# **Spin magnetization**: 0.000 μB per cell
data_Ho3TmTl4Se8
_space_group_name_H-M_alt 'R -3 m'
_space_group_IT_number 166
_space_group_name_Hall '-R 3 2"'
_cell_length_a 8.3209
_cell_length_b 8.3209
_cell_length_c 23.3338
_cell_angle_alpha 90.00
_cell_angle_beta 90.00
_cell_angle_gamma 120.00
loop_
_atom_site_label
_atom_site_type_symbol
_atom_site_fract_x
_atom_site_fract_y
_atom_site_fract_z
_atom_site_occupancy
Ho1 Ho 0.0000 0.5000 0.0000 1
Tm1 Tm 0.0000 0.0000 0.0000 1
Tl1 Tl 0.0000 0.0000 0.5000 1
Tl2 Tl 0.0000 0.5000 0.5000 1
Se1 Se 0.0000 0.0000 0.2655 1
Se2 Se 0.0019 0.5010 0.7342 1

=====

3.
# RbSr2GeI8, optimized geometry, DFT PBE
# **ΔE_f (raw)**: -12.9 eV/f.u.
# **Spin magnetization**: 0.000 μB per cell
data_RbSr2GeI8
_space_group_name_H-M_alt 'P -1'
_space_group_IT_number 2
_space_group_name_Hall '-P 1'
_cell_length_a 7.247
_cell_length_b 7.458
_cell_length_c 10.446
_cell_angle_alpha 90.03
_cell_angle_beta 90.10
_cell_angle_gamma 90.36
loop_
_atom_site_label
_atom_site_type_symbol
_atom_site_fract_x
_atom_site_fract_y
_atom_site_fract_z
_atom_site_occupancy
Rb1 Rb 0.000 0.000 0.000 1
Sr1 Sr 0.500 0.500 0.271 1
Ge1 Ge 0.000 0.000 0.500 1
I1 I 0.232 0.340 0.500 1
I2 I 0.241 0.861 0.294 1
I3 I 0.242 0.862 0.707 1
I4 I 0.248 0.455 0.000 1

=====

4.
# TbNi2B4, optimized geometry, DFT PBE
# **Spin magnetization**: 0.000 μB per cell
# **DFT formation energy**: -0.31 eV/atom
data_TbNi2B4
_space_group_name_H-M_alt 'I m m m'
_space_group_IT_number 71
_space_group_name_Hall '-I 2 2'
_cell_length_a 3.115
_cell_length_b 3.330
_cell_length_c 13.820
_cell_angle_alpha 90.00
_cell_angle_beta 90.00
_cell_angle_gamma 90.00
loop_
_atom_site_label
_atom_site_type_symbol
_atom_site_fract_x
_atom_site_fract_y
_atom_site_fract_z
_atom_site_occupancy
Tb1 Tb 0.000 0.000 0.000 1
Ni1 Ni 0.000 0.500 0.301 1
B1 B 0.000 0.000 0.391 1
B2 B 0.000 0.500 0.152 1

=====

5.
# BC3, optimized geometry, DFT PBE
# **Spin magnetization**: 0.000 μB per cell
# **Energy above the most stable polymorph in this dataset**: 32.8 meV/atom
# **DFT formation energy**: 0.27 eV/atom
data_BC3
_space_group_name_H-M_alt 'P 1 m 1'
_space_group_IT_number 6
_space_group_name_Hall 'P -2y'
_cell_length_a 4.382
_cell_length_b 2.564
_cell_length_c 6.576
_cell_angle_alpha 90.00
_cell_angle_beta 90.51
_cell_angle_gamma 90.00
loop_
_atom_site_label
_atom_site_type_symbol
_atom_site_fract_x
_atom_site_fract_y
_atom_site_fract_z
_atom_site_occupancy
B1 B 0.000 0.000 0.000 1
B2 B 0.198 0.500 0.137 1
B3 B 0.585 0.500 0.008 1
C1 C 0.025 0.000 0.758 1
C2 C 0.196 0.500 0.374 1
C3 C 0.361 0.000 0.452 1
C4 C 0.364 0.000 0.690 1
C5 C 0.533 0.500 0.764 1
C6 C 0.662 0.000 0.129 1
C7 C 0.690 0.000 0.363 1
C8 C 0.858 0.500 0.441 1
C9 C 0.861 0.500 0.677 1

=====

6.
# CuTcMo2, optimized geometry, DFT PBE
# **Spin magnetization**: 0.000 μB per cell
# **Energy above the most stable polymorph in this dataset**: 601.3 meV/atom
# **DFT formation energy**: 0.75 eV/atom
data_CuTcMo2
_space_group_name_H-M_alt 'I -4 2 d'
_space_group_IT_number 122
_space_group_name_Hall 'I -4 2bw'
_cell_length_a 6.984
_cell_length_b 6.984
_cell_length_c 5.281
_cell_angle_alpha 90.00
_cell_angle_beta 90.00
_cell_angle_gamma 90.00
loop_
_atom_site_label
_atom_site_type_symbol
_atom_site_fract_x
_atom_site_fract_y
_atom_site_fract_z
_atom_site_occupancy
Cu1 Cu 0.000 0.000 0.000 1
Tc1 Tc 0.000 0.000 0.500 1
Mo1 Mo 0.231 0.250 0.625 1